[1]
Entry from Alexandria: a relaxed Ti5Mn2NiPd2 crystal (PBE).

a = 10.085 Å, b = 10.085 Å, c = 2.962 Å
α = 90.00°, β = 90.00°, γ = 90.00°
Sites, in units of the cell vectors:
Ti  0.000  0.500  0.000
Ti  0.086  0.194  0.000
Ti  0.194  0.914  0.000
Ti  0.306  0.414  0.000
Ti  0.414  0.694  0.000
Ti  0.500  0.000  0.000
Ti  0.586  0.306  0.000
Ti  0.694  0.586  0.000
Ti  0.806  0.086  0.000
Ti  0.914  0.806  0.000
Mn  0.130  0.370  0.500
Mn  0.370  0.870  0.500
Mn  0.630  0.130  0.500
Mn  0.870  0.630  0.500
Ni  0.000  0.000  0.500
Ni  0.500  0.500  0.500
Pd  0.168  0.668  0.500
Pd  0.332  0.168  0.500
Pd  0.668  0.832  0.500
Pd  0.832  0.332  0.500

Output
Magnetization   0.000 μB per atom
DFT formation energy   -160 meV per atom

[2]
Entry from Alexandria: a relaxed TbSm7Tm3 crystal (PBE).

a = 8.479 Å, b = 8.479 Å, c = 5.836 Å
α = 110.08°, β = 110.08°, γ = 83.29°
Sites, in units of the cell vectors:
Tb  0.000  0.000  0.000
Sm  0.000  0.000  0.500
Sm  0.097  0.516  0.807
Sm  0.292  0.292  0.293
Sm  0.484  0.903  0.193
Sm  0.516  0.097  0.807
Sm  0.708  0.708  0.707
Sm  0.903  0.484  0.193
Tm  0.296  0.704  0.500
Tm  0.500  0.500  0.000
Tm  0.704  0.296  0.500

Output
Energy relative to the lowest polymorph listed for this composition   119 meV/atom
Magnetization   0.011 μB per atom
DFT formation energy   240 meV per atom

[3]
Entry from Alexandria: a relaxed PmThAu2 crystal (PBE).

a = 3.944 Å, b = 4.731 Å, c = 5.970 Å
α = 90.00°, β = 109.07°, γ = 90.00°
Sites, in units of the cell vectors:
Pm  0.000  0.000  0.000
Th  0.725  0.500  0.450
Au  0.272  0.000  0.543
Au  0.449  0.500  0.897

Output
Energy relative to the lowest polymorph listed for this composition   0 meV/atom
Magnetization   0.000 μB per atom
DFT formation energy   -711 meV per atom

[4]
Entry from Alexandria: a relaxed Y3CoAu crystal (PBE).

a = 5.957 Å, b = 5.957 Å, c = 8.473 Å
α = 112.03°, β = 112.03°, γ = 64.06°
Sites, in units of the cell vectors:
Y  0.019  0.019  0.219
Y  0.293  0.293  0.668
Y  0.317  0.317  0.141
Y  0.683  0.683  0.859
Y  0.707  0.707  0.332
Y  0.981  0.981  0.781
Co  0.319  0.681  0.000
Co  0.681  0.319  0.000
Au  0.273  0.727  0.500
Au  0.727  0.273  0.500

Output
Energy relative to the lowest polymorph listed for this composition   0 meV/atom
Magnetization   0.000 μB per atom
DFT formation energy   -403 meV per atom

[5]
Entry from Alexandria: a relaxed DyZrCoNi crystal (PBE).

a = 4.636 Å, b = 4.636 Å, c = 4.636 Å
α = 60.00°, β = 60.00°, γ = 60.00°
Sites, in units of the cell vectors:
Dy  0.000  0.000  0.000
Zr  0.500  0.500  0.500
Co  0.750  0.750  0.750
Ni  0.250  0.250  0.250

Output
Magnetization   0.117 μB per atom
DFT formation energy   -250 meV per atom

[6]
Entry from Alexandria: a relaxed AlFe2Mo crystal (PBE).

a = 2.909 Å, b = 2.909 Å, c = 6.210 Å
α = 90.00°, β = 90.00°, γ = 90.00°
Sites, in units of the cell vectors:
Al  0.000  0.000  0.000
Fe  0.000  0.000  0.452
Fe  0.500  0.500  0.236
Mo  0.500  0.500  0.706

Output
Magnetization   0.948 μB per atom
DFT formation energy   -84 meV per atom

[7]
Entry from Alexandria: a relaxed LaTiPCl2 crystal (PBE).

a = 5.381 Å, b = 5.381 Å, c = 5.823 Å
α = 90.00°, β = 90.00°, γ = 90.00°
Sites, in units of the cell vectors:
La  0.000  0.000  0.000
Ti  0.500  0.500  0.500
P  0.000  0.000  0.500
Cl  0.000  0.500  0.000
Cl  0.500  0.000  0.000

Output
Energy relative to the lowest polymorph listed for this composition   735 meV/atom
Uncorrected formation energy   -0.437 eV per atom
Magnetization   0.421 μB per atom

[8]
Entry from Alexandria: a relaxed AlCu2Ru crystal (PBE).

a = 2.704 Å, b = 4.379 Å, c = 4.510 Å
α = 90.00°, β = 95.91°, γ = 90.00°
Sites, in units of the cell vectors:
Al  0.000  0.000  0.000
Cu  0.208  0.500  0.752
Cu  0.792  0.500  0.248
Ru  0.500  0.000  0.500

Output
Magnetization   0.037 μB per atom
DFT formation energy   -49 meV per atom

[9]
Entry from Alexandria: a relaxed TbEuGe crystal (PBE).

a = 4.846 Å, b = 4.846 Å, c = 4.352 Å
α = 90.00°, β = 90.00°, γ = 120.00°
Sites, in units of the cell vectors:
Tb  0.000  0.000  0.000
Eu  0.667  0.333  0.517
Ge  0.333  0.667  0.117

Output
Magnetization   2.466 μB per atom
DFT formation energy   -387 meV per atom

[10]
Entry from Alexandria: a relaxed SnSbCl2 crystal (PBE).

a = 5.221 Å, b = 5.221 Å, c = 5.221 Å
α = 60.00°, β = 60.00°, γ = 60.00°
Sites, in units of the cell vectors:
Sn  0.000  0.000  0.000
Sb  0.500  0.500  0.500
Cl  0.250  0.250  0.250
Cl  0.750  0.750  0.750

Output
Energy relative to the lowest polymorph listed for this composition   394 meV/atom
Uncorrected formation energy   -0.020 eV per atom
Magnetization   0.000 μB per atom

[11]
Entry from Alexandria: a relaxed Rb2BiCl2 crystal (PBE).

a = 8.476 Å, b = 8.476 Å, c = 8.476 Å
α = 136.47°, β = 136.47°, γ = 63.25°
Sites, in units of the cell vectors:
Rb  0.201  0.201  0.000
Rb  0.799  0.799  0.000
Bi  0.500  0.500  0.000
Cl  0.250  0.750  0.500
Cl  0.750  0.250  0.500

Output
Energy relative to the lowest polymorph listed for this composition   45 meV/atom
Uncorrected formation energy   -0.939 eV per atom
Magnetization   0.600 μB per atom

[12]
Entry from Alexandria: a relaxed Pr2ScUAs4 crystal (PBE).

a = 7.154 Å, b = 4.137 Å, c = 7.200 Å
α = 90.00°, β = 109.14°, γ = 90.00°
Sites, in units of the cell vectors:
Pr  0.000  0.000  0.000
Pr  0.500  0.500  0.000
Sc  0.000  0.500  0.500
U  0.500  0.000  0.500
As  0.239  0.000  0.725
As  0.252  0.500  0.271
As  0.748  0.500  0.729
As  0.761  0.000  0.275

Output
Magnetization   0.276 μB per atom
DFT formation energy   -1252 meV per atom

no.,D(E_F) (states/eV/f.u.)
1,11.2
2,15.2
3,3.4
4,4.4
5,3.5
6,3.7
7,3.3
8,2.4
9,5.2
10,4.4
11,0.0
12,8.1